Record 1
Entry from the Alexandria database: KGa2Au3 after structural relaxation (PBE).

## Properties
ΔE_f, kJ/mol of formula units: -200
Size of the total moment, Bohr magnetons per cell: 0.0
E above lowest polymorph, meV/atom: 0
Space-group type: Cmcm (63)

Structure (CIF):
```
data_KGa2Au3
_chemical_formula_sum 'K2 Ga4 Au6'
_symmetry_space_group_name_H-M 'P 1'
_symmetry_Int_Tables_number 1
_symmetry_space_group_name_Hall 'P 1'
_cell_length_a 7.0517
_cell_length_b 7.0517
_cell_length_c 5.7050
_cell_angle_alpha 90.00
_cell_angle_beta 90.00
_cell_angle_gamma 73.50
loop_
_atom_site_label
_atom_site_type_symbol
_atom_site_fract_x
_atom_site_fract_y
_atom_site_fract_z
K1 K 0.1572 0.8428 0.7500
K2 K 0.8428 0.1572 0.2500
Ga1 Ga 0.3028 0.3028 0.0000
Ga2 Ga 0.3028 0.3028 0.5000
Ga3 Ga 0.6972 0.6972 0.0000
Ga4 Ga 0.6972 0.6972 0.5000
Au1 Au 0.0162 0.5854 0.2500
Au2 Au 0.4146 0.9838 0.2500
Au3 Au 0.4250 0.5750 0.2500
Au4 Au 0.5750 0.4250 0.7500
Au5 Au 0.5854 0.0162 0.7500
Au6 Au 0.9838 0.4146 0.7500
```

---

Record 2
Entry from the Alexandria database: KGa12Au7 after structural relaxation (PBE).

## Properties
ΔE_f, kJ/mol of formula units: -278
Size of the total moment, Bohr magnetons per cell: 0.0
Space-group type: R-3m (166)

Structure (CIF):
```
data_KGa12Au7
_chemical_formula_sum 'K1 Ga12 Au7'
_symmetry_space_group_name_H-M 'P 1'
_symmetry_Int_Tables_number 1
_symmetry_space_group_name_Hall 'P 1'
_cell_length_a 8.1235
_cell_length_b 8.1235
_cell_length_c 8.1235
_cell_angle_alpha 110.45
_cell_angle_beta 110.45
_cell_angle_gamma 110.45
loop_
_atom_site_label
_atom_site_type_symbol
_atom_site_fract_x
_atom_site_fract_y
_atom_site_fract_z
K1 K 0.0000 0.0000 0.0000
Ga1 Ga 0.0000 0.2573 0.7427
Ga2 Ga 0.0000 0.7427 0.2573
Ga3 Ga 0.1321 0.4676 0.4676
Ga4 Ga 0.2573 0.0000 0.7427
Ga5 Ga 0.2573 0.7427 0.0000
Ga6 Ga 0.4676 0.1321 0.4676
Ga7 Ga 0.4676 0.4676 0.1321
Ga8 Ga 0.5324 0.5324 0.8679
Ga9 Ga 0.5324 0.8679 0.5324
Ga10 Ga 0.7427 0.0000 0.2573
Ga11 Ga 0.7427 0.2573 0.0000
Ga12 Ga 0.8679 0.5324 0.5324
Au1 Au 0.1740 0.1740 0.5144
Au2 Au 0.1740 0.5144 0.1740
Au3 Au 0.4856 0.8260 0.8260
Au4 Au 0.5000 0.5000 0.5000
Au5 Au 0.5144 0.1740 0.1740
Au6 Au 0.8260 0.4856 0.8260
Au7 Au 0.8260 0.8260 0.4856
```

---

Record 3
Entry from the Alexandria database: KGa3Au after structural relaxation (PBE).

## Properties
ΔE_f, kJ/mol of formula units: 37
Size of the total moment, Bohr magnetons per cell: 0.0
E above lowest polymorph, meV/atom: 305
Space-group type: Pm-3m (221)

Structure (CIF):
```
data_KGa3Au
_chemical_formula_sum 'K1 Ga3 Au1'
_symmetry_space_group_name_H-M 'P 1'
_symmetry_Int_Tables_number 1
_symmetry_space_group_name_Hall 'P 1'
_cell_length_a 5.1802
_cell_length_b 5.1802
_cell_length_c 5.1802
_cell_angle_alpha 90.00
_cell_angle_beta 90.00
_cell_angle_gamma 90.00
loop_
_atom_site_label
_atom_site_type_symbol
_atom_site_fract_x
_atom_site_fract_y
_atom_site_fract_z
K1 K 0.0000 0.0000 0.0000
Ga1 Ga 0.0000 0.5000 0.5000
Ga2 Ga 0.5000 0.0000 0.5000
Ga3 Ga 0.5000 0.5000 0.0000
Au1 Au 0.5000 0.5000 0.5000
```

---

Record 4
Entry from the Alexandria database: K2Ga3Au9 after structural relaxation (PBE).

## Properties
ΔE_f, kJ/mol of formula units: -263
Size of the total moment, Bohr magnetons per cell: 0.0
Space-group type: C2/c (15)

Structure (CIF):
```
data_K2Ga3Au9
_chemical_formula_sum 'K4 Ga6 Au18'
_symmetry_space_group_name_H-M 'P 1'
_symmetry_Int_Tables_number 1
_symmetry_space_group_name_Hall 'P 1'
_cell_length_a 8.0396
_cell_length_b 8.0396
_cell_length_c 11.2169
_cell_angle_alpha 110.18
_cell_angle_beta 110.18
_cell_angle_gamma 59.80
loop_
_atom_site_label
_atom_site_type_symbol
_atom_site_fract_x
_atom_site_fract_y
_atom_site_fract_z
K1 K 0.0853 0.2474 0.2498
K2 K 0.2474 0.0853 0.7498
K3 K 0.7526 0.9147 0.2502
K4 K 0.9147 0.7526 0.7502
Ga1 Ga 0.0000 0.5000 0.0000
Ga2 Ga 0.1425 0.6798 0.5009
Ga3 Ga 0.3202 0.8575 0.9991
Ga4 Ga 0.5000 0.0000 0.5000
Ga5 Ga 0.6798 0.1425 0.0009
Ga6 Ga 0.8575 0.3202 0.4991
Au1 Au 0.0352 0.8376 0.0590
Au2 Au 0.1624 0.9648 0.4410
Au3 Au 0.1997 0.3536 0.5579
Au4 Au 0.2059 0.5834 0.2501
Au5 Au 0.3218 0.4751 0.9258
Au6 Au 0.3536 0.1997 0.0579
Au7 Au 0.3673 0.6327 0.7500
Au8 Au 0.4166 0.7941 0.2499
Au9 Au 0.4751 0.3218 0.4258
Au10 Au 0.5249 0.6782 0.5742
Au11 Au 0.5834 0.2059 0.7501
Au12 Au 0.6327 0.3673 0.2500
Au13 Au 0.6464 0.8003 0.9421
Au14 Au 0.6782 0.5249 0.0742
Au15 Au 0.7941 0.4166 0.7499
Au16 Au 0.8003 0.6464 0.4421
Au17 Au 0.8376 0.0352 0.5590
Au18 Au 0.9648 0.1624 0.9410
```

---

Record 5
Entry from the Alexandria database: K2GaAu after structural relaxation (PBE).

## Properties
ΔE_f, kJ/mol of formula units: -75
Size of the total moment, Bohr magnetons per cell: 0.0
Space-group type: Cmcm (63)

Structure (CIF):
```
data_K2GaAu
_chemical_formula_sum 'K8 Ga4 Au4'
_symmetry_space_group_name_H-M 'P 1'
_symmetry_Int_Tables_number 1
_symmetry_space_group_name_Hall 'P 1'
_cell_length_a 10.3629
_cell_length_b 8.1325
_cell_length_c 6.1854
_cell_angle_alpha 90.00
_cell_angle_beta 90.00
_cell_angle_gamma 90.00
loop_
_atom_site_label
_atom_site_type_symbol
_atom_site_fract_x
_atom_site_fract_y
_atom_site_fract_z
K1 K 0.1751 0.1437 0.2500
K2 K 0.1751 0.8563 0.7500
K3 K 0.3249 0.3563 0.7500
K4 K 0.3249 0.6437 0.2500
K5 K 0.6751 0.3563 0.7500
K6 K 0.6751 0.6437 0.2500
K7 K 0.8249 0.1437 0.2500
K8 K 0.8249 0.8563 0.7500
Ga1 Ga 0.0000 0.5000 0.0000
Ga2 Ga 0.0000 0.5000 0.5000
Ga3 Ga 0.5000 0.0000 0.0000
Ga4 Ga 0.5000 0.0000 0.5000
Au1 Au 0.0000 0.2402 0.7500
Au2 Au 0.0000 0.7598 0.2500
Au3 Au 0.5000 0.2598 0.2500
Au4 Au 0.5000 0.7402 0.7500
```

---

Record 6
Entry from the Alexandria database: KGaAu3 after structural relaxation (PBE).

## Properties
ΔE_f, kJ/mol of formula units: 467
Size of the total moment, Bohr magnetons per cell: 0.0
E above lowest polymorph, meV/atom: 1239
Space-group type: Pm-3m (221)

Structure (CIF):
```
data_KGaAu3
_chemical_formula_sum 'K1 Ga1 Au3'
_symmetry_space_group_name_H-M 'P 1'
_symmetry_Int_Tables_number 1
_symmetry_space_group_name_Hall 'P 1'
_cell_length_a 5.8051
_cell_length_b 5.8051
_cell_length_c 5.8051
_cell_angle_alpha 90.00
_cell_angle_beta 90.00
_cell_angle_gamma 90.00
loop_
_atom_site_label
_atom_site_type_symbol
_atom_site_fract_x
_atom_site_fract_y
_atom_site_fract_z
K1 K 0.0000 0.0000 0.0000
Ga1 Ga 0.5000 0.5000 0.5000
Au1 Au 0.0000 0.0000 0.5000
Au2 Au 0.0000 0.5000 0.0000
Au3 Au 0.5000 0.0000 0.0000
```